# 1
## V12Ga3Cu (GGA-PBE)

Data for a geometry-optimized V12Ga3Cu structure.

Results
- Crystal system: orthorhombic
- Magnetic moment: 0.1 Bohr magnetons per cell
- Energy of formation from the pure elements: -116 meV per atom

Cell: 4.7651 4.7583 9.5570 Å, 90.00 90.00 90.00°
With the nearest neighbours (Å) after each atom.
Element x y z (fractional)
1 Cu 0.0000 0.0000 0.5000  12 V 2.64-2.65
2 V 0.0000 0.7521 0.2528  2 V 2.36-2.40, 1 Cu 2.64
3 Ga 0.0000 0.0000 0.0000  12 V 2.67-2.69
4 V 0.2543 0.5000 0.0000  2 V 2.34-2.42
5 V 0.5000 0.0000 0.6183  2 V 2.26-2.40
6 V 0.5000 0.0000 0.3817  2 V 2.26-2.40
7 Ga 0.5000 0.5000 0.7500  12 V 2.64-2.69
8 V 0.0000 0.7521 0.7472  2 V 2.36-2.40, 1 Cu 2.64
9 V 0.7548 0.5000 0.5000  2 V 2.34-2.43
10 V 0.0000 0.2479 0.2528  2 V 2.36-2.40, 1 Cu 2.64
11 V 0.2452 0.5000 0.5000  2 V 2.34-2.43
12 V 0.0000 0.2479 0.7472  2 V 2.36-2.40, 1 Cu 2.64
13 V 0.5000 0.0000 0.8697  2 V 2.40-2.49, 4 Ga 2.64-2.69
14 V 0.5000 0.0000 0.1303  2 V 2.40-2.49, 4 Ga 2.64-2.69
15 Ga 0.5000 0.5000 0.2500  12 V 2.64-2.69
16 V 0.7457 0.5000 0.0000  2 V 2.34-2.42

# 2
## ErScTl2S4 (GGA-PBE)

Data for a geometry-optimized ErScTl2S4 structure.

Results
- Crystal system: monoclinic
- Magnetic moment: 0.0 Bohr magnetons per cell
- Formation energy from raw total energies: -1.42 eV/atom

Cell: 3.9053 6.7586 7.8329 Å, 106.69 90.00 90.00°
With the nearest neighbours (Å) after each atom.
Element x y z (fractional)
1 S 0.0000 0.7412 0.1944  1 Sc 2.63, 2 Er 2.71
2 Er 0.5000 0.5000 0.0000  6 S 2.71-2.72
3 Tl 0.0000 0.5000 0.5000  6 S 3.26
4 Sc 0.0000 0.0000 0.0000  6 S 2.63-2.64
5 Tl 0.5000 0.0000 0.5000  6 S 3.19
6 S 0.5000 0.2207 0.1903  2 Sc 2.64, 1 Er 2.72
7 S 0.0000 0.2588 0.8056  1 Sc 2.63, 2 Er 2.71
8 S 0.5000 0.7793 0.8097  2 Sc 2.64, 1 Er 2.72

# 3
## TbPrYZn (GGA-PBE)

Data for a geometry-optimized TbPrYZn structure.

Results
- ΔE to the lowest computed polymorph: 21.12 kJ per mole of atoms
- Crystal system: cubic
- Magnetic moment: 0.0 Bohr magnetons per cell
- Energy of formation from the pure elements: 52 meV per atom

Cell: 5.4261 5.4261 5.4261 Å, 60.00 60.00 60.00°
With the nearest neighbours (Å) after each atom.
Element x y z (fractional)
1 Zn 0.0000 0.0000 0.0000  4 Pr 3.32, 4 Y 3.32
2 Y 0.7500 0.7500 0.7500  4 Zn 3.32, 4 Tb 3.32
3 Tb 0.5000 0.5000 0.5000  4 Y 3.32, 4 Pr 3.32
4 Pr 0.2500 0.2500 0.2500  4 Tb 3.32, 4 Zn 3.32

# 4
## La2Tl2Hg (GGA-PBE)

Data for a geometry-optimized La2Tl2Hg structure.

Results
- ΔE to the lowest computed polymorph: 49.31 kJ per mole of atoms
- Crystal system: tetragonal
- Magnetic moment: 0.0 Bohr magnetons per cell
- Energy of formation from the pure elements: 115 meV per atom

Cell: 4.9967 4.9967 7.8889 Å, 71.54 71.54 90.00°
With the nearest neighbours (Å) after each atom.
Element x y z (fractional)
1 Hg 0.0000 0.0000 0.0000  8 Tl 3.79
2 Tl 0.4021 0.4021 0.1959  1 Tl 2.76
3 La 0.2500 0.7500 0.5000  4 Tl 3.29, 4 La 3.53
4 Tl 0.5979 0.5979 0.8041  1 Tl 2.76
5 La 0.7500 0.2500 0.5000  4 Tl 3.29, 4 La 3.53

# 5
## LiY4Zn5 (GGA-PBE)

Data for a geometry-optimized LiY4Zn5 structure.

Results
- Crystal system: tetragonal
- Magnetic moment: 0.0 Bohr magnetons per cell
- Energy of formation from the pure elements: -298 meV per atom

Cell: 3.5255 3.5255 17.4436 Å, 90.00 90.00 90.00°
With the nearest neighbours (Å) after each atom.
Element x y z (fractional)
1 Zn 0.5000 0.5000 0.2926  8 Y 3.08
2 Y 0.0000 0.0000 0.3961  8 Zn 3.08
3 Li 0.0000 0.0000 0.0000  8 Zn 2.88
4 Zn 0.5000 0.5000 0.0824  1 Zn 2.87, 4 Li 2.88, 4 Y 3.11
5 Zn 0.5000 0.5000 0.9176  1 Zn 2.87, 4 Li 2.88, 4 Y 3.11
6 Y 0.0000 0.0000 0.8108  8 Zn 3.08-3.11, 1 Li 3.30
7 Y 0.0000 0.0000 0.1892  8 Zn 3.08-3.11, 1 Li 3.30
8 Zn 0.5000 0.5000 0.7074  8 Y 3.08
9 Zn 0.5000 0.5000 0.5000  8 Y 3.08
10 Y 0.0000 0.0000 0.6039  8 Zn 3.08

# 6
## YMg2Pb (GGA-PBE)

Data for a geometry-optimized YMg2Pb structure.

Results
- Crystal system: trigonal
- Magnetic moment: 0.0 Bohr magnetons per cell
- Energy of formation from the pure elements: 4 meV per atom

Cell: 11.2834 11.2834 11.2834 Å, 17.31 17.31 17.31°
With the nearest neighbours (Å) after each atom.
Element x y z (fractional)
1 Pb 0.2500 0.2500 0.2500  6 Pb 3.40, 6 Mg 3.40
2 Mg 0.0001 0.0001 0.0001  6 Mg 3.40, 3 Y 3.40, 3 Pb 3.40
3 Mg 0.4999 0.4999 0.4999  6 Mg 3.40, 3 Y 3.40, 3 Pb 3.40
4 Y 0.7500 0.7500 0.7500  6 Y 3.40, 6 Mg 3.40